Arrangement P

# Ga3Sn2 PBE-GGA optimized geometry
# Density of states at the Fermi level, states/eV/cell: 13.09
# Volume, Å³/atom: 24.47
data_Ga3Sn2
_chemical_formula_sum 'Ga18 Sn12'
_space_group_name_H-M_alt 'R -3 c'
_space_group_IT_number 167
_space_group_name_Hall '-R 3 2"c'
_cell_length_a 7.1988
_cell_length_b 7.1988
_cell_length_c 16.3550
_cell_angle_alpha 90.00
_cell_angle_beta 90.00
_cell_angle_gamma 120.00
loop_
_atom_site_label
_atom_site_type_symbol
_atom_site_fract_x
_atom_site_fract_y
_atom_site_fract_z
Ga1 Ga 0.0000 0.2345 0.2500
Sn1 Sn 0.0000 0.0000 0.0974

***

Arrangement Q

# Ga3Sn2 PBE-GGA optimized geometry
# Density of states at the Fermi level, states/eV/cell: 5.73
# Volume, Å³/atom: 23.41
data_Ga3Sn2
_chemical_formula_sum 'Ga9 Sn6'
_space_group_name_H-M_alt 'R -3 m'
_space_group_IT_number 166
_space_group_name_Hall '-R 3 2"'
_cell_length_a 4.0805
_cell_length_b 4.0805
_cell_length_c 24.3562
_cell_angle_alpha 90.00
_cell_angle_beta 90.00
_cell_angle_gamma 120.00
loop_
_atom_site_label
_atom_site_type_symbol
_atom_site_fract_x
_atom_site_fract_y
_atom_site_fract_z
Ga1 Ga 0.0000 0.0000 0.0000
Ga2 Ga 0.0000 0.0000 0.3870
Sn1 Sn 0.0000 0.0000 0.2089

***

Least stable = arrangement P

***

Arrangement P

# GaSn4 PBE-GGA optimized geometry
# Density of states at the Fermi level, states/eV/cell: 2.38
# Volume, Å³/atom: 30.06
data_GaSn4
_chemical_formula_sum 'Ga1 Sn4'
_space_group_name_H-M_alt 'P m -3 m'
_space_group_IT_number 221
_space_group_name_Hall '-P 4 2 3'
_cell_length_a 5.3166
_cell_length_b 5.3166
_cell_length_c 5.3166
_cell_angle_alpha 90.00
_cell_angle_beta 90.00
_cell_angle_gamma 90.00
loop_
_atom_site_label
_atom_site_type_symbol
_atom_site_fract_x
_atom_site_fract_y
_atom_site_fract_z
Ga1 Ga 0.0000 0.0000 0.0000
Sn1 Sn 0.0000 0.0000 0.5000
Sn2 Sn 0.5000 0.5000 0.5000

***

Arrangement Q

# GaSn4 PBE-GGA optimized geometry
# Density of states at the Fermi level, states/eV/cell: 8.52
# Volume, Å³/atom: 26.26
data_GaSn4
_chemical_formula_sum 'Ga4 Sn16'
_space_group_name_H-M_alt 'C 1 2/m 1'
_space_group_IT_number 12
_space_group_name_Hall '-C 2y'
_cell_length_a 7.9473
_cell_length_b 8.9065
_cell_length_c 8.2853
_cell_angle_alpha 90.00
_cell_angle_beta 116.44
_cell_angle_gamma 90.00
loop_
_atom_site_label
_atom_site_type_symbol
_atom_site_fract_x
_atom_site_fract_y
_atom_site_fract_z
Ga1 Ga 0.0000 0.1569 0.0000
Sn1 Sn 0.0707 0.3154 0.7137
Sn2 Sn 0.1783 0.0000 0.4405
Sn3 Sn 0.2150 0.5000 0.1314

***

Least stable = arrangement P

***

Arrangement P

# Ga4Sn PBE-GGA optimized geometry
# Density of states at the Fermi level, states/eV/cell: 5.14
# Volume, Å³/atom: 21.08
data_Ga4Sn
_chemical_formula_sum 'Ga16 Sn4'
_space_group_name_H-M_alt 'F m m m'
_space_group_IT_number 69
_space_group_name_Hall '-F 2 2'
_cell_length_a 6.0448
_cell_length_b 6.0937
_cell_length_c 11.4442
_cell_angle_alpha 90.00
_cell_angle_beta 90.00
_cell_angle_gamma 90.00
loop_
_atom_site_label
_atom_site_type_symbol
_atom_site_fract_x
_atom_site_fract_y
_atom_site_fract_z
Ga1 Ga 0.0000 0.0000 0.1089
Ga2 Ga 0.2500 0.2500 0.2500
Sn1 Sn 0.0000 0.0000 0.5000

***

Arrangement Q

# Ga4Sn PBE-GGA optimized geometry
# Density of states at the Fermi level, states/eV/cell: 3.11
# Volume, Å³/atom: 30.54
data_Ga4Sn
_chemical_formula_sum 'Ga4 Sn1'
_space_group_name_H-M_alt 'P m -3 m'
_space_group_IT_number 221
_space_group_name_Hall '-P 4 2 3'
_cell_length_a 5.3452
_cell_length_b 5.3452
_cell_length_c 5.3452
_cell_angle_alpha 90.00
_cell_angle_beta 90.00
_cell_angle_gamma 90.00
loop_
_atom_site_label
_atom_site_type_symbol
_atom_site_fract_x
_atom_site_fract_y
_atom_site_fract_z
Ga1 Ga 0.0000 0.0000 0.0000
Ga2 Ga 0.0000 0.5000 0.5000
Sn1 Sn 0.5000 0.5000 0.5000

***

Least stable = arrangement Q

***

Arrangement P

# Sr2Ga2Sn3 PBE-GGA optimized geometry
# Density of states at the Fermi level, states/eV/cell: 12.00
# Volume, Å³/atom: 29.10
data_Sr2Ga2Sn3
_chemical_formula_sum 'Sr8 Ga8 Sn12'
_space_group_name_H-M_alt 'C m c m'
_space_group_IT_number 63
_space_group_name_Hall '-C 2c 2'
_cell_length_a 5.0885
_cell_length_b 21.3370
_cell_length_c 7.5037
_cell_angle_alpha 90.00
_cell_angle_beta 90.00
_cell_angle_gamma 90.00
loop_
_atom_site_label
_atom_site_type_symbol
_atom_site_fract_x
_atom_site_fract_y
_atom_site_fract_z
Sr1 Sr 0.0000 0.0427 0.2500
Sr2 Sr 0.0000 0.1600 0.7500
Ga1 Ga 0.0000 0.3029 0.5499
Sn1 Sn 0.0000 0.2121 0.2500
Sn2 Sn 0.0000 0.4319 0.0563

***

Arrangement Q

# Sr2Ga2Sn3 PBE-GGA optimized geometry
# Density of states at the Fermi level, states/eV/cell: 4.22
# Volume, Å³/atom: 27.74
data_Sr2Ga2Sn3
_chemical_formula_sum 'Sr4 Ga4 Sn6'
_space_group_name_H-M_alt 'C 1 2/m 1'
_space_group_IT_number 12
_space_group_name_Hall '-C 2y'
_cell_length_a 11.7982
_cell_length_b 4.6302
_cell_length_c 7.4036
_cell_angle_alpha 90.00
_cell_angle_beta 106.21
_cell_angle_gamma 90.00
loop_
_atom_site_label
_atom_site_type_symbol
_atom_site_fract_x
_atom_site_fract_y
_atom_site_fract_z
Sr1 Sr 0.1373 0.0000 0.2756
Ga1 Ga 0.0930 0.5000 0.9339
Sn1 Sn 0.0000 0.5000 0.5000
Sn2 Sn 0.1652 0.0000 0.7772

***

Least stable = arrangement P

***

Arrangement P

# Sr2GaSn2 PBE-GGA optimized geometry
# Density of states at the Fermi level, states/eV/cell: 6.96
# Volume, Å³/atom: 30.81
data_Sr2GaSn2
_chemical_formula_sum 'Sr8 Ga4 Sn8'
_space_group_name_H-M_alt 'C 1 2/m 1'
_space_group_IT_number 12
_space_group_name_Hall '-C 2y'
_cell_length_a 12.2604
_cell_length_b 4.8469
_cell_length_c 11.5645
_cell_angle_alpha 90.00
_cell_angle_beta 116.29
_cell_angle_gamma 90.00
loop_
_atom_site_label
_atom_site_type_symbol
_atom_site_fract_x
_atom_site_fract_y
_atom_site_fract_z
Sr1 Sr 0.0021 0.0000 0.1693
Sr2 Sr 0.1808 0.0000 0.6095
Ga1 Ga 0.1951 0.5000 0.8430
Sn1 Sn 0.0324 0.5000 0.3882
Sn2 Sn 0.1612 0.5000 0.0719

***

Arrangement Q

# Sr2GaSn2 PBE-GGA optimized geometry
# Density of states at the Fermi level, states/eV/cell: 4.60
# Volume, Å³/atom: 34.63
data_Sr2GaSn2
_chemical_formula_sum 'Sr4 Ga2 Sn4'
_space_group_name_H-M_alt 'P 4/m b m'
_space_group_IT_number 127
_space_group_name_Hall '-P 4 2ab'
_cell_length_a 8.9463
_cell_length_b 8.9463
_cell_length_c 4.3263
_cell_angle_alpha 90.00
_cell_angle_beta 90.00
_cell_angle_gamma 90.00
loop_
_atom_site_label
_atom_site_type_symbol
_atom_site_fract_x
_atom_site_fract_y
_atom_site_fract_z
Sr1 Sr 0.1810 0.3190 0.0000
Ga1 Ga 0.0000 0.0000 0.0000
Sn1 Sn 0.1162 0.6162 0.5000

***

Arrangement R

# Sr2GaSn2 PBE-GGA optimized geometry
# Density of states at the Fermi level, states/eV/cell: 16.49
# Volume, Å³/atom: 33.50
data_Sr2GaSn2
_chemical_formula_sum 'Sr8 Ga4 Sn8'
_space_group_name_H-M_alt 'C m c 21'
_space_group_IT_number 36
_space_group_name_Hall 'C 2c -2'
_cell_length_a 4.6268
_cell_length_b 18.2194
_cell_length_c 7.9486
_cell_angle_alpha 90.00
_cell_angle_beta 90.00
_cell_angle_gamma 90.00
loop_
_atom_site_label
_atom_site_type_symbol
_atom_site_fract_x
_atom_site_fract_y
_atom_site_fract_z
Sr1 Sr 0.0000 0.0300 0.0000
Sr2 Sr 0.0000 0.2148 0.2935
Ga1 Ga 0.0000 0.4234 0.1649
Sn1 Sn 0.0000 0.1598 0.7073
Sn2 Sn 0.0000 0.4276 0.8011

***

Least stable = arrangement Q

***

Arrangement P

# SrGaSn3 PBE-GGA optimized geometry
# Density of states at the Fermi level, states/eV/cell: 7.10
# Volume, Å³/atom: 29.24
data_SrGaSn3
_chemical_formula_sum 'Sr4 Ga4 Sn12'
_space_group_name_H-M_alt 'C m c m'
_space_group_IT_number 63
_space_group_name_Hall '-C 2c 2'
_cell_length_a 5.0899
_cell_length_b 16.6811
_cell_length_c 6.8878
_cell_angle_alpha 90.00
_cell_angle_beta 90.00
_cell_angle_gamma 90.00
loop_
_atom_site_label
_atom_site_type_symbol
_atom_site_fract_x
_atom_site_fract_y
_atom_site_fract_z
Sr1 Sr 0.0000 0.1052 0.2500
Ga1 Ga 0.0000 0.4724 0.2500
Sn1 Sn 0.0000 0.1063 0.7500
Sn2 Sn 0.0000 0.3040 0.0325

***

Arrangement Q

# SrGaSn3 PBE-GGA optimized geometry
# Density of states at the Fermi level, states/eV/cell: 4.80
# Volume, Å³/atom: 43.64
data_SrGaSn3
_chemical_formula_sum 'Sr1 Ga1 Sn3'
_space_group_name_H-M_alt 'P m -3 m'
_space_group_IT_number 221
_space_group_name_Hall '-P 4 2 3'
_cell_length_a 6.0205
_cell_length_b 6.0205
_cell_length_c 6.0205
_cell_angle_alpha 90.00
_cell_angle_beta 90.00
_cell_angle_gamma 90.00
loop_
_atom_site_label
_atom_site_type_symbol
_atom_site_fract_x
_atom_site_fract_y
_atom_site_fract_z
Sr1 Sr 0.0000 0.0000 0.0000
Ga1 Ga 0.5000 0.5000 0.5000
Sn1 Sn 0.0000 0.0000 0.5000

***

Arrangement R

# SrGaSn3 PBE-GGA optimized geometry
# Density of states at the Fermi level, states/eV/cell: 8.56
# Volume, Å³/atom: 28.25
data_SrGaSn3
_chemical_formula_sum 'Sr4 Ga4 Sn12'
_space_group_name_H-M_alt 'C 1 2/m 1'
_space_group_IT_number 12
_space_group_name_Hall '-C 2y'
_cell_length_a 16.7544
_cell_length_b 5.4385
_cell_length_c 6.7055
_cell_angle_alpha 90.00
_cell_angle_beta 112.35
_cell_angle_gamma 90.00
loop_
_atom_site_label
_atom_site_type_symbol
_atom_site_fract_x
_atom_site_fract_y
_atom_site_fract_z
Sr1 Sr 0.1438 0.0000 0.2757
Ga1 Ga 0.0067 0.5000 0.8122
Sn1 Sn 0.0572 0.0000 0.7301
Sn2 Sn 0.1349 0.5000 0.6104
Sn3 Sn 0.2473 0.0000 0.8573

***

Arrangement S

# SrGaSn3 PBE-GGA optimized geometry
# Density of states at the Fermi level, states/eV/cell: 2.60
# Volume, Å³/atom: 32.12
data_SrGaSn3
_chemical_formula_sum 'Sr1 Ga1 Sn3'
_space_group_name_H-M_alt 'P m -3 m'
_space_group_IT_number 221
_space_group_name_Hall '-P 4 2 3'
_cell_length_a 5.4355
_cell_length_b 5.4355
_cell_length_c 5.4355
_cell_angle_alpha 90.00
_cell_angle_beta 90.00
_cell_angle_gamma 90.00
loop_
_atom_site_label
_atom_site_type_symbol
_atom_site_fract_x
_atom_site_fract_y
_atom_site_fract_z
Sr1 Sr 0.0000 0.0000 0.0000
Ga1 Ga 0.5000 0.5000 0.5000
Sn1 Sn 0.0000 0.5000 0.5000

***

Least stable = arrangement Q